Entry 1:
Material: SrNiO2
Method: DFT, GGA+U
State: relaxed

abc: 6.2963 6.2963 6.2963
angles: 34.76 34.76 34.76
Sites, in units of the cell vectors:
Sr1 0.5000 0.5000 0.5000
O1 0.9026 0.9026 0.9026
O2 0.0974 0.0974 0.0974
Ni1 0.0000 0.0000 0.0000

Results
- E: -5.284 eV per atom
- Magnetization: 2.00 μB per formula unit

Entry 2:
Material: SrNiO3
Method: DFT, GGA+U
State: relaxed

abc: 6.4466 10.9383 4.2771
angles: 90.00 90.00 90.00
Sites, in units of the cell vectors:
Sr1 0.0000 0.0000 0.5000
Sr2 0.5000 0.5000 0.0000
Sr3 0.5000 0.0000 0.0000
Sr4 0.0000 0.5000 0.5000
O1 0.1491 0.9032 0.9945
O2 0.3509 0.4032 0.4945
O3 0.3509 0.0968 0.4945
O4 0.8509 0.4032 0.0055
O5 0.8509 0.0968 0.0055
O6 0.6491 0.5968 0.5055
O7 0.6491 0.9032 0.5055
O8 0.1491 0.5968 0.9945
O9 0.5297 0.2500 0.9043
O10 0.9703 0.7500 0.4043
O11 0.4703 0.7500 0.0957
O12 0.0297 0.2500 0.5957
Ni1 0.3181 0.2500 0.6043
Ni2 0.1819 0.7500 0.1043
Ni3 0.6819 0.7500 0.3957
Ni4 0.8181 0.2500 0.8957

Results
- E: -5.123 eV per atom
- Magnetization: 2.00 μB per formula unit

Entry 3:
Material: SrNi3O
Method: DFT, GGA+U
State: relaxed

abc: 4.2982 4.2982 4.2982
angles: 90.00 90.00 90.00
Sites, in units of the cell vectors:
Sr1 0.5000 0.5000 0.5000
O1 0.0000 0.0000 0.0000
Ni1 0.0000 0.5000 0.0000
Ni2 0.0000 0.0000 0.5000
Ni3 0.5000 0.0000 0.0000

Results
- E: -2.623 eV per atom
- Magnetization: 2.24 μB per formula unit